Computed, not measured: crystalline CrFe2F at its relaxed geometry at the PBE+U level of DFT.

Results
DOS at the Fermi energy ... 3.53 states/eV per cell
Total magnetic moment ... 24.26 Bohr magnetons per cell
Energy ... -39.8 eV per cell

Unit cell a=6.9279 b=6.9279 c=5.6516 alpha=52.20 beta=52.20 gamma=90.00
Last column: nearest neighbours and their distance in Å.
Element x y z (fractional)
Cr 0.0000 0.0000 0.0000  2 F 2.82, 8 Fe 2.95-2.98
Cr 0.7500 0.2500 0.5000  2 F 2.82, 8 Fe 2.95-2.98
Fe 0.5454 0.1250 0.2500  2 F 2.21
Fe 0.2046 0.6250 0.2500  2 F 2.21
Fe 0.3750 0.4546 0.7500  2 F 2.21
Fe 0.8750 0.7954 0.7500  2 F 2.21
F 0.5000 0.5000 0.0000  4 Fe 2.21
F 0.2500 0.7500 0.5000  4 Fe 2.21